[1]
Density functional theory data (GGA-PBE) for BaLi3Tl2 after structural relaxation.

Properties
Space-group type: Cmcm
Calculated formation energy in eV per atom: -0.219
ΔE to the lowest computed polymorph in kJ per mole of atoms: 0.9

The structure in CIF format:
```
data_BaLi3Tl2
_chemical_formula_sum 'Ba2 Li6 Tl4'
_cell_length_a 7.003
_cell_length_b 7.003
_cell_length_c 6.757
_cell_angle_alpha 90.00
_cell_angle_beta 90.00
_cell_angle_gamma 81.25
_symmetry_space_group_name_H-M 'P 1'
_symmetry_Int_Tables_number 1
loop_
_symmetry_equiv_pos_as_xyz
'x,y,z'
loop_
_atom_site_label
_atom_site_fract_x
_atom_site_fract_y
_atom_site_fract_z
_atom_site_occupancy
Ba1 0.169 0.831 0.750 1
Ba2 0.831 0.169 0.250 1
Li1 0.047 0.593 0.250 1
Li2 0.407 0.953 0.250 1
Li3 0.459 0.541 0.250 1
Li4 0.541 0.459 0.750 1
Li5 0.593 0.047 0.750 1
Li6 0.953 0.407 0.750 1
Tl1 0.281 0.281 0.000 1
Tl2 0.281 0.281 0.500 1
Tl3 0.719 0.719 0.000 1
Tl4 0.719 0.719 0.500 1
```

=====

[2]
Density functional theory data (GGA-PBE) for BaLiTl after structural relaxation.

Properties
Space-group type: F-43m
Calculated formation energy in eV per atom: 0.217
ΔE to the lowest computed polymorph in kJ per mole of atoms: 45.6

The structure in CIF format:
```
data_BaLiTl
_chemical_formula_sum 'Ba1 Li1 Tl1'
_cell_length_a 5.636
_cell_length_b 5.636
_cell_length_c 5.636
_cell_angle_alpha 60.00
_cell_angle_beta 60.00
_cell_angle_gamma 60.00
_symmetry_space_group_name_H-M 'P 1'
_symmetry_Int_Tables_number 1
loop_
_symmetry_equiv_pos_as_xyz
'x,y,z'
loop_
_atom_site_label
_atom_site_fract_x
_atom_site_fract_y
_atom_site_fract_z
_atom_site_occupancy
Ba1 0.000 0.000 0.000 1
Li1 0.250 0.250 0.250 1
Tl1 0.750 0.750 0.750 1
```

=====

[3]
Density functional theory data (GGA-PBE) for Ba5LiTl4 after structural relaxation.

Properties
Space-group type: P4/mmm
Calculated formation energy in eV per atom: -0.328

The structure in CIF format:
```
data_Ba5LiTl4
_chemical_formula_sum 'Ba5 Li1 Tl4'
_cell_length_a 4.327
_cell_length_b 4.327
_cell_length_c 21.451
_cell_angle_alpha 90.00
_cell_angle_beta 90.00
_cell_angle_gamma 90.00
_symmetry_space_group_name_H-M 'P 1'
_symmetry_Int_Tables_number 1
loop_
_symmetry_equiv_pos_as_xyz
'x,y,z'
loop_
_atom_site_label
_atom_site_fract_x
_atom_site_fract_y
_atom_site_fract_z
_atom_site_occupancy
Ba1 0.000 0.000 0.000 1
Ba2 0.000 0.000 0.198 1
Ba3 0.000 0.000 0.392 1
Ba4 0.000 0.000 0.608 1
Ba5 0.000 0.000 0.802 1
Li1 0.500 0.500 0.500 1
Tl1 0.500 0.500 0.102 1
Tl2 0.500 0.500 0.297 1
Tl3 0.500 0.500 0.703 1
Tl4 0.500 0.500 0.898 1
```